The following is a GGA-PBE calculation of an optimized crystal structure of MgGaH2, from Alexandria via LeMat-Bulk.

a b c (Å): 4.0257 4.0257 4.0257
angles (deg): 60.00 60.00 60.00
Fractional coordinates of all 4 atoms:
Ga  0.5000  0.5000  0.5000
Mg  0.0000  0.0000  0.0000
H  0.2500  0.2500  0.2500
H  0.7500  0.7500  0.7500

## Properties
Total magnetic moment (μB per formula unit): 0.0
Space group: Fm-3m (225)
Raw total energy (Ry/atom): -0.1795